Compound: Cs2KSeBr6
Source: Alexandria via LeMat-Bulk
Functional: GGA-PBE
Structure: relaxed

```
Cs2KSeBr6
1.0
3.938 2.274 15.628
-3.938 2.274 15.628
0.000 -4.547 15.628
Cs K Se Br
4 2 2 12
Direct
0.136 0.136 0.136
0.305 0.305 0.305
0.695 0.695 0.695
0.864 0.864 0.864
0.417 0.417 0.417
0.583 0.583 0.583
0.000 0.000 0.000
0.500 0.500 0.500
0.131 0.635 0.635
0.198 0.198 0.705
0.198 0.705 0.198
0.295 0.802 0.802
0.365 0.365 0.869
0.365 0.869 0.365
0.635 0.131 0.635
0.635 0.635 0.131
0.705 0.198 0.198
0.802 0.295 0.802
0.802 0.802 0.295
0.869 0.365 0.365
```

## Properties
space group: R-3m (166)
raw formation energy: -1.030 eV/atom
calculated density: 3.4 g/cm³